First-principles (PBE) data for KGeH after structural relaxation, as listed in the Alexandria database.

## Properties
As for the energy above the most stable polymorph in this dataset: 0.0000 eV/atom.

abc: 5.1269 6.0625 5.9414
angles: 125.51 90.00 90.00
With the nearest neighbours (Å) after each atom.
Fractional positions:
H: 0.0529 0.5901 0.9757  1 Ge 1.64
H: 0.5529 0.2685 0.2640  1 Ge 1.64
Ge: 0.5492 0.4534 0.6029  1 H 1.64
Ge: 0.0492 0.4052 0.6369  1 H 1.64
K: 0.5670 0.7693 0.2730  4 H 2.88-3.06
K: 0.0670 0.0894 0.9668  4 H 2.88-3.06